# 1
A plane-wave DFT calculation with PBE was carried out for a relaxed LaZrNi crystal.

abc: 3.6751 3.6751 6.2515
angles: 90.00 90.00 120.00
Last column: nearest neighbours and their distance in Å.
Fractional positions:
La (0.0000, 0.0000, 0.0000)  3 Ni 2.87
Zr (0.6667, 0.3333, 0.5419)  3 Ni 2.57
Ni (0.3333, 0.6667, 0.3085)  3 Zr 2.57, 3 La 2.87

SG   No. 156
Formation energy   0.1 eV/f.u.
Total magnetization   0.0 Bohr magnetons per cell
Crystal system   trigonal


# 2
A plane-wave DFT calculation with PBE was carried out for a relaxed CaAs8 crystal.

abc: 7.7875 7.7875 7.7875
angles: 92.83 92.83 154.31
Last column: nearest neighbours and their distance in Å.
Fractional positions:
Ca (0.0000, 0.0000, 0.0000)  12 As 2.97-3.10
As (0.0000, 0.2763, 0.2763)  4 As 2.76, 1 Ca 2.97
As (0.0000, 0.7237, 0.7237)  4 As 2.76, 1 Ca 2.97
As (0.2763, 0.0000, 0.2763)  4 As 2.76, 1 Ca 2.97
As (0.3305, 0.3305, 0.6610)  6 As 2.76-3.00
As (0.3305, 0.6695, 0.0000)  6 As 2.76-3.00
As (0.6695, 0.3305, 0.0000)  6 As 2.76-3.00
As (0.6695, 0.6695, 0.3390)  6 As 2.76-3.00
As (0.7237, 0.0000, 0.7237)  4 As 2.76, 1 Ca 2.97

SG   No. 139
Formation energy   1.1 eV/f.u.
Total magnetization   0.0 Bohr magnetons per cell
Crystal system   tetragonal


# 3
A plane-wave DFT calculation with PBE was carried out for a relaxed Li2ErTlI6 crystal.

abc: 8.5057 8.5057 8.5057
angles: 54.78 54.78 54.78
Last column: nearest neighbours and their distance in Å.
Fractional positions:
Li (0.0000, 0.0000, 0.0000)  6 I 2.97-3.17
Li (0.4936, 0.4936, 0.4936)  6 I 3.08-3.12
Er (0.6782, 0.6782, 0.6782)  6 I 3.02-3.03
Tl (0.1920, 0.1920, 0.1920)  6 I 3.41-3.56
I (0.0854, 0.4167, 0.7427)  1 Er 3.02, 2 Li 3.08-3.17
I (0.2643, 0.8532, 0.6500)  2 Li 2.97-3.12, 1 Er 3.03
I (0.4167, 0.7427, 0.0854)  1 Er 3.02, 2 Li 3.08-3.17
I (0.6500, 0.2643, 0.8532)  2 Li 2.97-3.12, 1 Er 3.03
I (0.7427, 0.0854, 0.4167)  1 Er 3.02, 2 Li 3.08-3.17
I (0.8532, 0.6500, 0.2643)  2 Li 2.97-3.12, 1 Er 3.03

SG   No. 146
Total magnetization   0.0 Bohr magnetons per cell
Crystal system   trigonal
Uncorrected formation energy   -1.1316 eV/atom


# 4
A plane-wave DFT calculation with PBE was carried out for a relaxed PmU2ReC4 crystal.

abc: 6.1042 6.1042 11.7393
angles: 90.00 90.00 145.76
Last column: nearest neighbours and their distance in Å.
Fractional positions:
Pm (0.1148, 0.8852, 0.7500)  6 C 2.75-2.80, 1 Re 3.06
Pm (0.8852, 0.1148, 0.2500)  6 C 2.75-2.80, 1 Re 3.06
U (0.3713, 0.6287, 0.5441)  6 C 2.33-2.53
U (0.3713, 0.6287, 0.9559)  6 C 2.33-2.53
U (0.6287, 0.3713, 0.0441)  6 C 2.33-2.53
U (0.6287, 0.3713, 0.4559)  6 C 2.33-2.53
Re (0.1476, 0.8524, 0.2500)  4 C 2.00-2.05
Re (0.8524, 0.1476, 0.7500)  4 C 2.00-2.05
C (0.0000, 0.0000, 0.0000)  4 U 2.40
C (0.0000, 0.0000, 0.5000)  4 U 2.40
C (0.2568, 0.7432, 0.1185)  1 Re 2.00
C (0.2568, 0.7432, 0.3815)  1 Re 2.00
C (0.4368, 0.5632, 0.7500)  2 Re 2.05
C (0.5632, 0.4368, 0.2500)  2 Re 2.05
C (0.7432, 0.2568, 0.6185)  1 Re 2.00
C (0.7432, 0.2568, 0.8815)  1 Re 2.00

SG   No. 63
Formation energy   -0.3 eV/f.u.
Total magnetization   1.6 Bohr magnetons per cell
Crystal system   orthorhombic


# 5
A plane-wave DFT calculation with PBE was carried out for a relaxed Ce6PbAu3 crystal.

abc: 5.7509 8.7038 11.7963
angles: 90.00 116.96 90.00
Last column: nearest neighbours and their distance in Å.
Fractional positions:
Ce (0.0778, 0.1578, 0.0856)  1 Ce 2.83, 2 Au 3.01-3.11
Ce (0.0778, 0.3422, 0.5856)  1 Ce 2.83, 2 Au 3.01-3.11
Ce (0.3927, 0.1362, 0.4119)  2 Ce 2.82-3.02, 3 Au 3.10-3.14
Ce (0.3927, 0.3638, 0.9119)  2 Ce 2.82-3.02, 3 Au 3.10-3.14
Ce (0.4072, 0.7461, 0.7494)  2 Ce 2.82-2.83, 1 Au 3.00
Ce (0.4072, 0.7539, 0.2494)  2 Ce 2.82-2.83, 1 Au 3.00
Ce (0.5928, 0.2461, 0.7506)  2 Ce 2.82-2.83, 1 Au 3.00
Ce (0.5928, 0.2539, 0.2506)  2 Ce 2.82-2.83, 1 Au 3.00
Ce (0.6073, 0.6362, 0.0881)  2 Ce 2.82-3.02, 3 Au 3.10-3.14
Ce (0.6073, 0.8638, 0.5881)  2 Ce 2.82-3.02, 3 Au 3.10-3.14
Ce (0.9222, 0.6578, 0.4144)  1 Ce 2.83, 2 Au 3.01-3.11
Ce (0.9222, 0.8422, 0.9144)  1 Ce 2.83, 2 Au 3.01-3.11
Pb (0.5000, 0.0000, 0.0000)  2 Au 2.98, 6 Ce 3.30-3.32
Pb (0.5000, 0.5000, 0.5000)  2 Au 2.98, 6 Ce 3.30-3.32
Au (0.0000, 0.0000, 0.5000)  2 Au 2.93, 4 Ce 3.11-3.12
Au (0.0000, 0.5000, 0.0000)  2 Au 2.93, 4 Ce 3.11-3.12
Au (0.0552, 0.0862, 0.7514)  1 Au 2.93, 1 Pb 2.98, 5 Ce 3.00-3.18
Au (0.0552, 0.4138, 0.2514)  1 Au 2.93, 1 Pb 2.98, 5 Ce 3.00-3.18
Au (0.9448, 0.5862, 0.7486)  1 Au 2.93, 1 Pb 2.98, 5 Ce 3.00-3.18
Au (0.9448, 0.9138, 0.2486)  1 Au 2.93, 1 Pb 2.98, 5 Ce 3.00-3.18

SG   No. 14
Formation energy   -3.2 eV/f.u.
Total magnetization   8.9 Bohr magnetons per cell
Crystal system   monoclinic


# 6
A plane-wave DFT calculation with PBE was carried out for a relaxed Ba3NaIr crystal.

abc: 6.2250 6.2250 6.2250
angles: 90.00 90.00 90.00
Last column: nearest neighbours and their distance in Å.
Fractional positions:
Ba (0.0000, 0.0000, 0.5000)  2 Ir 3.11
Ba (0.0000, 0.5000, 0.0000)  2 Ir 3.11
Ba (0.5000, 0.0000, 0.0000)  2 Ir 3.11
Na (0.5000, 0.5000, 0.5000)  12 Ba 4.40
Ir (0.0000, 0.0000, 0.0000)  6 Ba 3.11

SG   No. 221
Formation energy   -0.5 eV/f.u.
Total magnetization   0.0 Bohr magnetons per cell
Crystal system   cubic


# 7
A plane-wave DFT calculation with PBE was carried out for a relaxed Pu2Ga17 crystal.

abc: 7.6112 7.6112 7.6112
angles: 67.67 67.67 67.67
Last column: nearest neighbours and their distance in Å.
Fractional positions:
Pu (0.2202, 0.2202, 0.2202)  16 Ga 3.14-3.33
Pu (0.7798, 0.7798, 0.7798)  16 Ga 3.14-3.33
Ga (0.0000, 0.5000, 0.5000)  2 Ga 2.71
Ga (0.0607, 0.0607, 0.7053)  4 Ga 2.67
Ga (0.0607, 0.7053, 0.0607)  4 Ga 2.67
Ga (0.2046, 0.5000, 0.7954)  4 Ga 2.50-2.67
Ga (0.2046, 0.7954, 0.5000)  4 Ga 2.50-2.67
Ga (0.2947, 0.9393, 0.9393)  4 Ga 2.67
Ga (0.3997, 0.3997, 0.3997)  3 Ga 2.71
Ga (0.5000, 0.0000, 0.5000)  2 Ga 2.71
Ga (0.5000, 0.2046, 0.7954)  4 Ga 2.50-2.67
Ga (0.5000, 0.5000, 0.0000)  2 Ga 2.71
Ga (0.5000, 0.7954, 0.2046)  4 Ga 2.50-2.67
Ga (0.6003, 0.6003, 0.6003)  3 Ga 2.71
Ga (0.7053, 0.0607, 0.0607)  4 Ga 2.67
Ga (0.7954, 0.2046, 0.5000)  4 Ga 2.50-2.67
Ga (0.7954, 0.5000, 0.2046)  4 Ga 2.50-2.67
Ga (0.9393, 0.2947, 0.9393)  4 Ga 2.67
Ga (0.9393, 0.9393, 0.2947)  4 Ga 2.67

SG   No. 166
Formation energy   -2.9 eV/f.u.
Total magnetization   11.0 Bohr magnetons per cell
Crystal system   trigonal


# 8
A plane-wave DFT calculation with PBE was carried out for a relaxed Ca6Tl5 crystal.

abc: 9.4473 9.4473 9.4473
angles: 146.46 131.53 60.23
Last column: nearest neighbours and their distance in Å.
Fractional positions:
Ca (0.0844, 0.3377, 0.7467)  7 Tl 3.30-3.39
Ca (0.2473, 0.0000, 0.2473)  6 Tl 3.36-3.41
Ca (0.4090, 0.6623, 0.7467)  7 Tl 3.30-3.39
Ca (0.5910, 0.3377, 0.2533)  7 Tl 3.30-3.39
Ca (0.7527, 0.0000, 0.7527)  6 Tl 3.36-3.41
Ca (0.9156, 0.6623, 0.2533)  7 Tl 3.30-3.39
Tl (0.1689, 0.1689, 0.0000)  8 Ca 3.33-3.39
Tl (0.3290, 0.8290, 0.5000)  8 Ca 3.33-3.41
Tl (0.5000, 0.5000, 0.0000)  8 Ca 3.30-3.36
Tl (0.6710, 0.1710, 0.5000)  8 Ca 3.33-3.41
Tl (0.8311, 0.8311, 0.0000)  8 Ca 3.33-3.39

SG   No. 71
Formation energy   -4.2 eV/f.u.
Total magnetization   0.0 Bohr magnetons per cell
Crystal system   orthorhombic